# 1
A plane-wave DFT calculation with PBE-GGA was carried out for an optimized crystal structure of SrNb2Os.

Computed properties:
Density of states at the Fermi level, states/eV/f.u.: 6.9
Size of the total moment, μB per atom: 0.00
Offset from the most stable computed form, eV per formula unit: 1.49

a = 5.081 Å, b = 5.081 Å, c = 17.825 Å
α = 90.00°, β = 90.00°, γ = 90.00°
Space group I4_1/amd (No. 141, origin choice 2)
Inequivalent atoms, fractional coordinates:
Sr  0.000  0.250  0.375 [4 per cell]
Nb  0.000  0.000  0.000 [8 per cell]
Os  0.000  0.250  0.875 [4 per cell]



# 2
A plane-wave DFT calculation with PBE-GGA was carried out for an optimized crystal structure of SrNb2Os2.

Computed properties:
Density of states at the Fermi level, states/eV/f.u.: 5.1
Size of the total moment, μB per atom: 0.00
Offset from the most stable computed form, eV per formula unit: 0.00

a = 4.446 Å, b = 4.446 Å, c = 10.874 Å
α = 90.00°, β = 90.00°, γ = 90.00°
Space group I4/mmm (No. 139)
Inequivalent atoms, fractional coordinates:
Sr  0.000  0.000  0.000 [2 per cell]
Nb  0.000  0.500  0.250 [4 per cell]
Os  0.000  0.000  0.380 [4 per cell]



# 3
A plane-wave DFT calculation with PBE-GGA was carried out for an optimized crystal structure of Sr3NbOs.

Computed properties:
Density of states at the Fermi level, states/eV/f.u.: 5.7
Size of the total moment, μB per atom: 0.66
Offset from the most stable computed form, eV per formula unit: 2.42

a = 5.672 Å, b = 5.672 Å, c = 5.672 Å
α = 90.00°, β = 90.00°, γ = 90.00°
Space group Pm-3m (No. 221)
Inequivalent atoms, fractional coordinates:
Sr  0.000  0.000  0.500 [3 per cell]
Nb  0.000  0.000  0.000 [1 per cell]
Os  0.500  0.500  0.500 [1 per cell]



# 4
A plane-wave DFT calculation with PBE-GGA was carried out for an optimized crystal structure of Sr3NbOs.

Computed properties:
Density of states at the Fermi level, states/eV/f.u.: 14.2
Size of the total moment, μB per atom: 0.21
Offset from the most stable computed form, eV per formula unit: 0.00

a = 5.722 Å, b = 5.722 Å, c = 5.722 Å
α = 90.00°, β = 90.00°, γ = 90.00°
Space group Pm-3m (No. 221)
Inequivalent atoms, fractional coordinates:
Sr  0.000  0.000  0.500 [3 per cell]
Nb  0.500  0.500  0.500 [1 per cell]
Os  0.000  0.000  0.000 [1 per cell]



# 5
A plane-wave DFT calculation with PBE-GGA was carried out for an optimized crystal structure of SrNb2Os.

Computed properties:
Density of states at the Fermi level, states/eV/f.u.: 5.0
Size of the total moment, μB per atom: 0.00
Offset from the most stable computed form, eV per formula unit: 0.00

a = 6.725 Å, b = 6.725 Å, c = 6.725 Å
α = 90.00°, β = 90.00°, γ = 90.00°
Space group Fm-3m (No. 225)
Inequivalent atoms, fractional coordinates:
Sr  0.000  0.000  0.000 [4 per cell]
Nb  0.250  0.250  0.250 [8 per cell]
Os  0.000  0.000  0.500 [4 per cell]



# 6
A plane-wave DFT calculation with PBE-GGA was carried out for an optimized crystal structure of SrNb2Os2.

Computed properties:
Density of states at the Fermi level, states/eV/f.u.: 3.9
Size of the total moment, μB per atom: 0.00
Offset from the most stable computed form, eV per formula unit: 1.22

a = 8.042 Å, b = 8.042 Å, c = 3.003 Å
α = 90.00°, β = 90.00°, γ = 90.00°
Space group P4/mbm (No. 127)
Inequivalent atoms, fractional coordinates:
Sr  0.000  0.000  0.000 [2 per cell]
Nb  0.144  0.356  0.500 [4 per cell]
Os  0.141  0.641  0.000 [4 per cell]



# 7
A plane-wave DFT calculation with PBE-GGA was carried out for an optimized crystal structure of Sr2NbOs.

Computed properties:
Density of states at the Fermi level, states/eV/f.u.: 4.5
Size of the total moment, μB per atom: 0.79
Offset from the most stable computed form, eV per formula unit: 1.76

a = 7.478 Å, b = 7.478 Å, c = 7.478 Å
α = 90.00°, β = 90.00°, γ = 90.00°
Space group Fm-3m (No. 225)
Inequivalent atoms, fractional coordinates:
Sr  0.250  0.250  0.250 [8 per cell]
Nb  0.000  0.000  0.000 [4 per cell]
Os  0.000  0.000  0.500 [4 per cell]



# 8
A plane-wave DFT calculation with PBE-GGA was carried out for an optimized crystal structure of Sr2NbOs.

Computed properties:
Density of states at the Fermi level, states/eV/f.u.: 4.1
Size of the total moment, μB per atom: 0.31
Offset from the most stable computed form, eV per formula unit: 0.00

a = 11.494 Å, b = 11.494 Å, c = 4.776 Å
α = 90.00°, β = 90.00°, γ = 90.00°
Space group I-42d (No. 122)
Inequivalent atoms, fractional coordinates:
Sr  0.085  0.250  0.125 [8 per cell]
Nb  0.000  0.000  0.500 [4 per cell]
Os  0.000  0.000  0.000 [4 per cell]



# 9
A plane-wave DFT calculation with PBE-GGA was carried out for an optimized crystal structure of SrTiNbOs2.

Computed properties:
Density of states at the Fermi level, states/eV/f.u.: 4.7
Size of the total moment, μB per atom: 0.00
E, eV/atom: -7.3394

a = 4.900 Å, b = 4.900 Å, c = 4.788 Å
α = 90.00°, β = 90.00°, γ = 90.00°
Space group P4/mmm (No. 123)
Inequivalent atoms, fractional coordinates:
Sr  0.000  0.000  0.000 [1 per cell]
Ti  0.500  0.500  0.000 [1 per cell]
Nb  0.500  0.500  0.500 [1 per cell]
Os  0.000  0.500  0.500 [2 per cell]



# 10
A plane-wave DFT calculation with PBE-GGA was carried out for an optimized crystal structure of SrNb2TlOs.

Computed properties:
Density of states at the Fermi level, states/eV/f.u.: 9.3
Size of the total moment, μB per atom: 0.00
E, eV/atom: -4.0711

a = 4.818 Å, b = 4.818 Å, c = 5.380 Å
α = 90.00°, β = 90.00°, γ = 90.00°
Space group P4/mmm (No. 123)
Inequivalent atoms, fractional coordinates:
Sr  0.000  0.000  0.000 [1 per cell]
Nb  0.000  0.500  0.000 [2 per cell]
Tl  0.000  0.000  0.500 [1 per cell]
Os  0.500  0.500  0.500 [1 per cell]



# 11
A plane-wave DFT calculation with PBE-GGA was carried out for an optimized crystal structure of TaNb3Os.

Computed properties:
Density of states at the Fermi level, states/eV/f.u.: 5.5
Size of the total moment, μB per atom: 0.00
Offset from the most stable computed form, eV per formula unit: 0.00

a = 4.607 Å, b = 7.342 Å, c = 5.538 Å
α = 90.00°, β = 90.00°, γ = 90.00°
Space group Pmmn (No. 59, origin choice 2)
Inequivalent atoms, fractional coordinates:
Ta  0.250  0.250  0.044 [2 per cell]
Nb  0.250  0.551  0.740 [4 per cell]
Nb  0.250  0.750  0.242 [2 per cell]
Os  0.250  0.250  0.503 [2 per cell]



# 12
A plane-wave DFT calculation with PBE-GGA was carried out for an optimized crystal structure of Ta8Nb2Os.

Computed properties:
Density of states at the Fermi level, states/eV/f.u.: 13.1
Size of the total moment, μB per atom: 0.00
Offset from the most stable computed form, eV per formula unit: 0.00

a = 15.387 Å, b = 4.658 Å, c = 5.457 Å
α = 90.00°, β = 90.42°, γ = 90.00°
Space group C2/m (No. 12)
Inequivalent atoms, fractional coordinates:
Ta  0.043  0.000  0.235 [4 per cell]
Ta  0.090  0.500  0.942 [4 per cell]
Ta  0.179  0.500  0.409 [4 per cell]
Ta  0.225  0.000  0.131 [4 per cell]
Nb  0.137  0.000  0.682 [4 per cell]
Os  0.000  0.500  0.500 [2 per cell]



# 13
A plane-wave DFT calculation with PBE-GGA was carried out for an optimized crystal structure of Ta2Nb2Os.

Computed properties:
Density of states at the Fermi level, states/eV/f.u.: 4.0
Size of the total moment, μB per atom: 0.00
Offset from the most stable computed form, eV per formula unit: 1.99

a = 4.503 Å, b = 4.503 Å, c = 19.133 Å
α = 90.00°, β = 90.00°, γ = 90.00°
Space group I4_1/amd (No. 141, origin choice 2)
Inequivalent atoms, fractional coordinates:
Ta  0.000  0.250  0.049 [8 per cell]
Nb  0.000  0.250  0.206 [8 per cell]
Os  0.000  0.250  0.375 [4 per cell]



# 14
A plane-wave DFT calculation with PBE-GGA was carried out for an optimized crystal structure of Ta3Nb3Os.

Computed properties:
Density of states at the Fermi level, states/eV/f.u.: 5.5
Size of the total moment, μB per atom: 0.00
E, eV/atom: -10.7552

a = 8.9212 Å, b = 8.9212 Å, c = 5.8199 Å
α = 90.00°, β = 90.00°, γ = 120.00°
Space group R3m (No. 160, hexagonal axes)
Inequivalent atoms, fractional coordinates:
Ta  0.1712  0.3423  0.0000 [9 per cell]
Nb  0.1770  0.3541  0.4921 [9 per cell]
Os  0.0000  0.0000  0.1709 [3 per cell]